1.
Cs3GeBi4, optimized geometry, DFT GGA-PBE; E = -3.003 eV per atom; Fermi-level density of states = 8.0 states/eV/cell
1.0
-2.4885 -7.6410 -0.5021
6.2316 -2.1960 2.5337
-4.9430 0.7673 12.8223
Cs Ge Bi
6 2 8
direct
0.8236 0.5000 0.7422
0.4596 0.5000 0.5000
0.8236 0.5000 0.2578
0.1764 0.0000 0.7578
0.1764 0.0000 0.2422
0.5404 0.0000 0.0000
0.6838 0.5000 0.0000
0.3162 0.0000 0.5000
0.0057 0.7862 0.5000
0.0057 0.2138 0.5000
0.6298 0.0000 0.6084
0.3702 0.5000 0.8916
0.9943 0.2862 0.0000
0.9943 0.7138 0.0000
0.6298 0.0000 0.3916
0.3702 0.5000 0.1084


2.
CsGe2Bi2, optimized geometry, DFT GGA-PBE; excess energy over the best structure of this formula in the dataset = 35 meV/atom; Fermi-level density of states = 2.7 states/eV/cell
1.0
-2.6127 2.6127 6.3154
2.6127 -2.6127 6.3154
2.6127 2.6127 -6.3154
Ge Bi Cs
2 2 1
direct
0.3717 0.3717 0.0000
0.6283 0.6283 0.0000
0.2500 0.7500 0.5000
0.7500 0.2500 0.5000
0.0000 0.0000 0.0000


3.
Cs3GeBi, optimized geometry, DFT GGA-PBE; E = -1.916 eV per atom; Fermi-level density of states = 4.0 states/eV/cell
1.0
7.4106 0.0000 0.0000
0.0000 7.4106 0.0000
0.0000 0.0000 7.4106
Cs Bi Ge
3 1 1
direct
0.0000 0.5000 0.0000
0.5000 0.0000 0.0000
0.0000 0.0000 0.5000
0.0000 0.0000 0.0000
0.5000 0.5000 0.5000


4.
CsGeBi2, optimized geometry, DFT GGA-PBE; E = -3.291 eV per atom; Fermi-level density of states = 1.0 states/eV/cell
1.0
4.2306 0.0000 0.0000
0.0000 4.2306 0.0000
0.0000 0.0000 8.1737
Bi Ge Cs
2 1 1
direct
0.0000 0.0000 0.8240
0.0000 0.0000 0.1760
0.5000 0.5000 0.0000
0.5000 0.5000 0.5000


5.
Cs3GeBi2, optimized geometry, DFT GGA-PBE; E = -2.623 eV per atom; Fermi-level density of states = 4.5 states/eV/cell
1.0
-0.5622 2.7567 4.5350
-0.6979 -7.6437 7.7001
11.8002 -1.9225 5.7718
Cs Bi Ge
6 4 2
direct
0.0567 0.1433 0.7432
0.6598 0.6715 0.0089
0.7849 0.8240 0.6062
0.2151 0.1760 0.3938
0.9433 0.8567 0.2568
0.3402 0.3285 0.9911
0.8751 0.4743 0.7754
0.5805 0.2981 0.5408
0.4195 0.7019 0.4592
0.1249 0.5257 0.2246
0.5729 0.5144 0.3398
0.4271 0.4856 0.6602


6.
CsGe2Bi2, optimized geometry, DFT GGA-PBE; excess energy over the best structure of this formula in the dataset = 164 meV/atom; Fermi-level density of states = 4.4 states/eV/cell
1.0
9.5019 0.0000 0.0000
0.0000 9.5019 0.0000
0.0000 0.0000 3.8583
Ge Bi Cs
4 4 2
direct
0.1204 0.6204 0.5000
0.6204 0.8796 0.5000
0.3796 0.1204 0.5000
0.8796 0.3796 0.5000
0.6277 0.1277 0.0000
0.8723 0.6277 0.0000
0.3723 0.8723 0.0000
0.1277 0.3723 0.0000
0.0000 0.0000 0.0000
0.5000 0.5000 0.0000


7.
CsGe2Bi2, optimized geometry, DFT GGA-PBE; excess energy over the best structure of this formula in the dataset = 0 meV/atom; Fermi-level density of states = 1.6 states/eV/cell
1.0
-2.5772 2.5772 6.8384
2.5772 -2.5772 6.8384
2.5772 2.5772 -6.8384
Bi Ge Cs
2 2 1
direct
0.6467 0.6467 0.0000
0.3533 0.3533 0.0000
0.2500 0.7500 0.5000
0.7500 0.2500 0.5000
0.0000 0.0000 0.0000


8.
CsGe2Bi, optimized geometry, DFT GGA-PBE; E = -3.250 eV per atom; Fermi-level density of states = 0.1 states/eV/cell
1.0
-8.4883 -0.9807 -1.8046
1.3726 -8.4167 -1.8824
-4.2163 -5.6095 1.7487
Ge Cs Bi
4 2 2
direct
0.8750 0.9406 0.7500
0.6906 0.1250 0.2500
0.3750 0.3094 0.7500
0.0594 0.6250 0.2500
0.2500 0.7500 0.5000
0.5000 0.5000 0.0000
0.7500 0.2500 0.5000
0.0000 0.0000 0.0000


9.
CsGe2Bi2, optimized geometry, DFT GGA-PBE; excess energy over the best structure of this formula in the dataset = 107 meV/atom; Fermi-level density of states = 2.7 states/eV/cell
1.0
-1.6564 -8.8895 1.7149
7.7836 -2.2887 -4.3456
1.9381 0.2801 3.3239
Bi Cs Ge
4 2 4
direct
0.3500 0.1500 0.5000
0.1500 0.6500 0.5000
0.6500 0.8500 0.5000
0.8500 0.3500 0.5000
0.0000 0.0000 0.0000
0.5000 0.5000 0.0000
0.6071 0.1071 0.0000
0.1071 0.3929 0.0000
0.8929 0.6071 0.0000
0.3929 0.8929 0.0000


10.
Cs2GeBi2, optimized geometry, DFT GGA-PBE; E = -2.940 eV per atom; Fermi-level density of states = 7.2 states/eV/cell
1.0
8.0363 0.0000 0.0000
0.0000 8.0363 0.0000
0.0000 0.0000 6.4287
Cs Bi Ge
4 4 2
direct
0.1748 0.6748 0.5000
0.8252 0.3252 0.5000
0.3252 0.1748 0.5000
0.6748 0.8252 0.5000
0.3638 0.8638 0.0000
0.6362 0.1362 0.0000
0.8638 0.6362 0.0000
0.1362 0.3638 0.0000
0.0000 0.0000 0.0000
0.5000 0.5000 0.0000


11.
Cs2Ge2Bi, optimized geometry, DFT GGA-PBE; excess energy over the best structure of this formula in the dataset = 0 meV/atom; Fermi-level density of states = 5.7 states/eV/cell
1.0
8.2424 0.0000 -0.1101
4.1212 7.4280 -0.0550
3.3898 0.0000 7.8981
Cs Ge Bi
4 4 2
direct
0.4390 0.7210 0.2799
0.5610 0.2790 0.7201
0.1600 0.2790 0.2799
0.8400 0.7210 0.7201
0.2909 0.0000 0.8987
0.7091 0.0000 0.1013
0.1528 0.0000 0.6937
0.8472 0.0000 0.3063
0.8731 0.2539 0.0000
0.1269 0.7461 0.0000


12.
CsHg2GeBi, optimized geometry, DFT GGA-PBE; E = -2.008 eV per atom; Fermi-level density of states = 2.9 states/eV/cell
1.0
-1.4005 -4.7694 2.8585
3.4631 1.5581 4.2964
-4.3752 2.7915 2.5142
Ge Bi Cs Hg
1 1 1 2
direct
0.0000 0.0000 0.0000
0.0000 0.0000 0.5000
0.5000 0.5000 0.5000
0.5000 0.0000 0.0000
0.0000 0.5000 0.0000


13.
CsGe2BiIr, optimized geometry, DFT GGA-PBE; E = -2.545 eV per atom; Fermi-level density of states = 5.0 states/eV/cell
1.0
5.6181 0.0000 0.0000
0.0000 5.0928 0.0000
0.0000 0.0000 5.6181
Ge Bi Ir Cs
2 1 1 1
direct
0.5000 0.0000 0.0000
0.0000 0.0000 0.5000
0.5000 0.5000 0.5000
0.0000 0.5000 0.0000
0.0000 0.0000 0.0000


14.
CsMgGe2Bi, optimized geometry, DFT GGA-PBE; E = -2.789 eV per atom; Fermi-level density of states = 4.5 states/eV/cell
1.0
-5.1989 -0.1269 1.3007
0.2438 -5.6903 0.4194
1.2867 0.4373 5.1855
Mg Ge Bi Cs
1 2 1 1
direct
0.0000 0.0000 0.0000
0.0000 0.0000 0.5000
0.5000 0.0000 0.0000
0.0000 0.5000 0.0000
0.5000 0.5000 0.5000


15.
CsGe2BiMo, optimized geometry, DFT GGA-PBE; E = -2.768 eV per atom; Fermi-level density of states = 4.6 states/eV/cell
1.0
5.6547 0.0000 0.0000
0.0000 5.3815 0.0000
0.0000 0.0000 5.6547
Cs Mo Ge Bi
1 1 2 1
direct
0.0000 0.0000 0.0000
0.0000 0.5000 0.0000
0.5000 0.0000 0.0000
0.0000 0.0000 0.5000
0.5000 0.5000 0.5000


16.
CsGeBiO2, optimized geometry, DFT GGA-PBE; energy relative to the elements, uncorrected = -181 meV/atom; Fermi-level density of states = 3.4 states/eV/cell
1.0
-3.6017 -2.0041 -1.9412
-1.6229 -1.9118 4.9849
-2.4554 3.7821 0.6511
O Bi Cs Ge
2 1 1 1
direct
0.5000 0.0000 0.0000
0.0000 0.0000 0.5000
0.0000 0.0000 0.0000
0.5000 0.5000 0.5000
0.0000 0.5000 0.0000


17.
CsGe2BiO6, optimized geometry, DFT GGA-PBE; energy relative to the elements, uncorrected = -1569 meV/atom; Fermi-level density of states = 0.0 states/eV/cell
1.0
-1.5021 4.1081 -6.2256
-6.6853 -3.4377 -1.1744
-1.7339 3.8944 4.0384
O Ge Cs Bi
12 4 2 2
direct
0.6714 0.5527 0.6288
0.5527 0.6714 0.1288
0.1568 0.1745 0.5437
0.6062 0.0742 0.2449
0.9258 0.3938 0.2551
0.8432 0.8255 0.4563
0.8255 0.8432 0.9563
0.4473 0.3286 0.8712
0.3286 0.4473 0.3712
0.1745 0.1568 0.0437
0.0742 0.6062 0.7449
0.3938 0.9258 0.7551
0.3068 0.1416 0.8081
0.6932 0.8584 0.1919
0.8584 0.6932 0.6919
0.1416 0.3068 0.3081
0.1821 0.8179 0.2500
0.8179 0.1821 0.7500
0.3852 0.6148 0.7500
0.6148 0.3852 0.2500


18.
CsGeBiS4, optimized geometry, DFT GGA-PBE; excess energy over the best structure of this formula in the dataset = 0 meV/atom; energy relative to the elements, uncorrected = -660 meV/atom; Fermi-level density of states = 0.0 states/eV/cell
1.0
-4.5075 3.4735 -4.0585
-1.6866 -5.7465 -3.0450
-14.5867 -7.7326 9.5823
S Bi Ge Cs
16 4 4 4
direct
0.7504 0.4166 0.9056
0.2496 0.5834 0.0944
0.0173 0.9838 0.3587
0.9827 0.0162 0.6413
0.6603 0.4144 0.7196
0.5173 0.0162 0.1413
0.0150 0.9933 0.1535
0.5150 0.0067 0.3465
0.1603 0.5856 0.7804
0.3397 0.5856 0.2804
0.2504 0.5834 0.5944
0.9850 0.0067 0.8465
0.4827 0.9838 0.8587
0.7496 0.4166 0.4056
0.4850 0.9933 0.6535
0.8397 0.4144 0.2196
0.6989 0.7632 0.2761
0.8011 0.7632 0.7761
0.1989 0.2368 0.2239
0.3011 0.2368 0.7239
0.7243 0.2088 0.8354
0.7757 0.2088 0.3354
0.2243 0.7912 0.6646
0.2757 0.7912 0.1646
0.7511 0.7186 0.5336
0.2511 0.2814 0.9664
0.7489 0.7186 0.0336
0.2489 0.2814 0.4664


19.
CsGeBiS4, optimized geometry, DFT GGA-PBE; excess energy over the best structure of this formula in the dataset = 12 meV/atom; energy relative to the elements, uncorrected = -647 meV/atom; Fermi-level density of states = 0.0 states/eV/cell
1.0
-2.8749 -2.8879 -5.3372
1.4051 -6.2716 2.6367
-6.7032 1.3018 6.6687
Ge S Cs Bi
2 8 2 2
direct
0.7711 0.2500 0.6625
0.2289 0.7500 0.3375
0.5609 0.2500 0.4299
0.5746 0.2500 0.8091
0.4254 0.7500 0.1909
0.9939 0.9999 0.6985
0.9939 0.5001 0.6985
0.0061 0.4999 0.3015
0.0061 0.0001 0.3015
0.4391 0.7500 0.5701
0.2716 0.2500 0.0607
0.7284 0.7500 0.9393
0.2260 0.2500 0.5355
0.7740 0.7500 0.4645


20.
CsGeBiSe4, optimized geometry, DFT GGA-PBE; energy relative to the elements, uncorrected = -598 meV/atom
1.0
-0.1804 2.0380 -6.6125
0.3976 -6.9276 -2.1460
-9.3198 -1.5027 3.1243
Se Ge Cs Bi
8 2 2 2
direct
0.9908 0.4950 0.2975
0.5749 0.2500 0.8145
0.9908 0.0050 0.2975
0.4396 0.7500 0.5743
0.5604 0.2500 0.4257
0.0092 0.9950 0.7025
0.4251 0.7500 0.1855
0.0092 0.5050 0.7025
0.2222 0.7500 0.3358
0.7778 0.2500 0.6642
0.7378 0.7500 0.9391
0.2622 0.2500 0.0609
0.7732 0.7500 0.4618
0.2268 0.2500 0.5382


Which spin magnetization belongs to each record? In order, 0.00; 0.00; 3.93; 0.00; 0.10; 0.00; 0.00; 0.00; 0.00; 0.00; 0.00; 0.00; 0.00; 0.00; 3.53; 0.00; 0.00; 0.00; 0.00; 0.00 μB per formula unit.